Entry A
This record from Alexandria via LeMat-Bulk describes crystalline NaZn2Bi2 at its relaxed geometry. The functional is GGA-PBE.

a = 5.874 Å, b = 7.072 Å, c = 8.485 Å
α = 69.30°, β = 74.80°, γ = 68.05°
Space group P-1 (No. 2)
Symmetry-distinct sites (fractional):
Na 0.076 0.303 0.318 [2 per cell]
Zn 0.226 0.172 0.826 [2 per cell]
Zn 0.473 0.584 0.239 [2 per cell]
Bi 0.227 0.743 0.963 [2 per cell]
Bi 0.463 0.784 0.482 [2 per cell]

The total magnetic moment is 0.00 μB/f.u. The calculated density is 6.280 Mg/m³.



Entry B
This record from Alexandria via LeMat-Bulk describes crystalline NaZn2Bi2 at its relaxed geometry. The functional is GGA-PBE.

a = 4.446 Å, b = 4.446 Å, c = 7.011 Å
α = 90.00°, β = 90.00°, γ = 90.00°
Space group P4/mmm (No. 123)
Symmetry-distinct sites (fractional):
Na 0.000 0.000 0.000 [1 per cell]
Zn 0.000 0.500 0.500 [2 per cell]
Bi 0.500 0.500 0.232 [2 per cell]

The total magnetic moment is 0.00 μB/f.u. The calculated density is 6.852 Mg/m³.



Entry C
This record from Alexandria via LeMat-Bulk describes crystalline NaZn2Bi2 at its relaxed geometry. The functional is GGA-PBE.

a = 4.862 Å, b = 4.862 Å, c = 11.809 Å
α = 90.00°, β = 90.00°, γ = 90.00°
Space group I4/mmm (No. 139)
Symmetry-distinct sites (fractional):
Na 0.000 0.000 0.000 [2 per cell]
Zn 0.000 0.000 0.397 [4 per cell]
Bi 0.000 0.500 0.250 [4 per cell]

The total magnetic moment is 0.00 μB/f.u. The calculated density is 6.801 Mg/m³.



Entry D
This record from Alexandria via LeMat-Bulk describes crystalline NaZn2Bi2 at its relaxed geometry. The functional is GGA-PBE.

a = 4.152 Å, b = 4.152 Å, c = 15.956 Å
α = 90.00°, β = 90.00°, γ = 90.00°
Space group I4/mmm (No. 139)
Symmetry-distinct sites (fractional):
Na 0.000 0.000 0.000 [2 per cell]
Zn 0.000 0.500 0.250 [4 per cell]
Bi 0.000 0.000 0.372 [4 per cell]

The total magnetic moment is 0.00 μB/f.u. The calculated density is 6.905 Mg/m³.



It comes down to entry D, which is 4.3 kJ/mol of atoms more stable than the next structure.



Entry A
This record from Alexandria via LeMat-Bulk describes crystalline NaZn2Bi2 at its relaxed geometry. The functional is GGA-PBE.

a = 8.162 Å, b = 8.162 Å, c = 3.745 Å
α = 90.00°, β = 90.00°, γ = 90.00°
Space group P4/mbm (No. 127)
Symmetry-distinct sites (fractional):
Na 0.000 0.000 0.000 [2 per cell]
Zn 0.115 0.385 0.000 [4 per cell]
Bi 0.182 0.682 0.500 [4 per cell]

The total magnetic moment is 0.00 μB/f.u. The calculated density is 7.610 Mg/m³.



Entry B
This record from Alexandria via LeMat-Bulk describes crystalline NaZn2Bi2 at its relaxed geometry. The functional is GGA-PBE.

a = 8.578 Å, b = 8.578 Å, c = 3.542 Å
α = 90.00°, β = 90.00°, γ = 90.00°
Space group P4/mbm (No. 127)
Symmetry-distinct sites (fractional):
Na 0.000 0.000 0.000 [2 per cell]
Zn 0.141 0.359 0.500 [4 per cell]
Bi 0.154 0.654 0.000 [4 per cell]

The total magnetic moment is 0.00 μB/f.u. The calculated density is 7.287 Mg/m³.



It comes down to entry A, which is 4.2 kJ/mol of atoms more stable than the next structure.



Entry A
This record from Alexandria via LeMat-Bulk describes crystalline Na3ZnBi at its relaxed geometry. The functional is GGA-PBE.

a = 5.424 Å, b = 5.424 Å, c = 5.424 Å
α = 90.00°, β = 90.00°, γ = 90.00°
Space group Pm-3m (No. 221)
Symmetry-distinct sites (fractional):
Na 0.000 0.000 0.500 [3 per cell]
Zn 0.000 0.000 0.000 [1 per cell]
Bi 0.500 0.500 0.500 [1 per cell]

The total magnetic moment is 0.00 μB/f.u. The calculated density is 3.573 Mg/m³.



Entry B
This record from Alexandria via LeMat-Bulk describes crystalline Na3ZnBi at its relaxed geometry. The functional is GGA-PBE.

a = 11.201 Å, b = 7.782 Å, c = 7.183 Å
α = 90.00°, β = 90.00°, γ = 90.00°
Space group Ima2 (No. 46)
Symmetry-distinct sites (fractional):
Na 0.018 0.249 0.000 [8 per cell]
Na 0.250 0.057 0.747 [4 per cell]
Zn 0.250 0.749 0.498 [4 per cell]
Bi 0.250 0.021 0.249 [4 per cell]

The total magnetic moment is 0.00 μB/f.u. The calculated density is 3.642 Mg/m³.



Entry C
This record from Alexandria via LeMat-Bulk describes crystalline Na3ZnBi at its relaxed geometry. The functional is GGA-PBE.

a = 6.039 Å, b = 6.039 Å, c = 6.039 Å
α = 90.00°, β = 90.00°, γ = 90.00°
Space group Pm-3m (No. 221)
Symmetry-distinct sites (fractional):
Na 0.000 0.000 0.500 [3 per cell]
Zn 0.500 0.500 0.500 [1 per cell]
Bi 0.000 0.000 0.000 [1 per cell]

The total magnetic moment is 0.00 μB/f.u. The calculated density is 2.589 Mg/m³.



It comes down to entry B, which is 3.2 kJ/mol of atoms more stable than the next structure.



Entry A
This record from Alexandria via LeMat-Bulk describes crystalline NaZrBi2 at its relaxed geometry. The functional is GGA-PBE.

a = 6.496 Å, b = 6.496 Å, c = 16.153 Å
α = 90.00°, β = 90.00°, γ = 90.00°
Space group I-42d (No. 122)
Symmetry-distinct sites (fractional):
Na 0.000 0.000 0.000 [4 per cell]
Zr 0.000 0.000 0.500 [4 per cell]
Bi 0.180 0.250 0.625 [8 per cell]

The total magnetic moment is 0.00 μB/f.u. The calculated density is 5.186 Mg/m³.



Entry B
This record from Alexandria via LeMat-Bulk describes crystalline NaZrBi2 at its relaxed geometry. The functional is GGA-PBE.

a = 3.9738 Å, b = 3.9738 Å, c = 26.2492 Å
α = 90.00°, β = 90.00°, γ = 120.00°
Space group R-3m (No. 166, hexagonal axes)
Symmetry-distinct sites (fractional):
Na 0.0000 0.0000 0.0000 [3 per cell]
Zr 0.0000 0.0000 0.5000 [3 per cell]
Bi 0.0000 0.0000 0.2420 [6 per cell]

The total magnetic moment is 0.00 μB/f.u. The calculated density is 7.384 Mg/m³.



It comes down to entry B, which is 43.0 kJ/mol of atoms more stable than the next structure.